(1)
Sr2LiH6Ir (GGA-PBE, optimized geometry); crystal system = monoclinic; mass density = 5.6 g/cm³; uncorrected energy = -3.904 eV per atom
1.0
-0.1623 -4.7528 2.6249
-1.5680 -2.4727 -4.5741
7.5204 3.4867 -4.4629
H Ir Li Sr
12 2 2 4
Cartesian
-0.4791 -4.0422 0.8546
-1.3188 -5.3826 -1.6037
1.6138 -2.6651 0.8798
1.1964 -1.5866 -2.7842
3.2857 -0.1987 -2.7604
2.5660 -1.3499 -4.8688
3.2241 -2.3889 -1.5433
2.5043 -3.5401 -3.6517
4.5937 -2.1522 -3.6278
4.1763 -1.0737 -7.2919
7.1088 1.6438 -4.8083
6.2691 0.3034 -7.2667
-0.0811 -2.3764 1.3125
2.8950 -1.8694 -3.2060
-0.7840 -1.2363 -2.2871
3.7602 1.7433 -2.2314
1.8389 -0.3174 -0.4610
0.9739 -3.9301 -1.4357
4.8161 0.1913 -4.9764
3.9512 -3.4214 -5.9511

(2)
NdUH2Br4 (GGA-PBE, optimized geometry); crystal system = hexagonal; mass density = 5.9 g/cm³; uncorrected energy = -4.946 eV per atom
1.0
-3.1121 -0.2243 2.3695
-0.2678 -1.2368 -3.7078
4.2268 -13.6770 4.2570
Br H Nd U
4 2 1 1
Cartesian
-0.6562 -2.7105 -1.1183
-0.6087 -5.5943 1.9101
0.5076 -9.2063 3.0343
2.4512 -12.7652 2.0112
-2.1640 -0.5618 0.3437
0.8975 -7.7378 0.4464
0.0000 0.0000 0.0000
2.1134 -6.8385 2.1285

(3)
IrOs2W2 (GGA-PBE, optimized geometry); crystal system = tetragonal; energy relative to the lowest polymorph listed for this composition = 0.0 meV per atom; mass density = 17.5 g/cm³; ΔE_f = 0.727 eV per atom; uncorrected energy = -10.718 eV per atom
1.0
3.6573 -4.3656 -2.1302
1.8592 -4.7303 3.3377
-5.0604 3.0379 -1.4615
Ir Os W
1 2 2
Cartesian
0.0000 0.0000 0.0000
2.1325 -3.5163 0.4668
3.3839 -5.5796 0.7407
0.6775 -2.9379 -1.4940
-0.2215 -3.1202 1.2400